# Sr2VFeO6

Crystalline Sr2VFeO6 at its relaxed geometry (PBE with a Hubbard U, Alexandria via LeMat-Bulk).

CIF file:
```
data_Sr2VFeO6
_chemical_formula_sum 'Sr2 V1 Fe1 O6'
_cell_length_a 3.9068
_cell_length_b 3.9068
_cell_length_c 7.8996
_cell_angle_alpha 90.00
_cell_angle_beta 90.00
_cell_angle_gamma 90.00
_space_group_name_H-M_alt 'P 1'
_space_group_IT_number 1
_space_group_name_Hall 'P 1'
loop_
_atom_site_label
_atom_site_fract_x
_atom_site_fract_y
_atom_site_fract_z
_atom_site_occupancy
Sr1 0.0000 0.0000 0.7600 1
Sr2 0.0000 0.0000 0.2400 1
V1 0.5000 0.5000 0.5000 1
Fe1 0.5000 0.5000 0.0000 1
O1 0.5000 0.0000 0.0000 1
O2 0.5000 0.0000 0.5000 1
O3 0.0000 0.5000 0.0000 1
O4 0.0000 0.5000 0.5000 1
O5 0.5000 0.5000 0.7349 1
O6 0.5000 0.5000 0.2651 1
```

Properties
As for the final energy: -6.889 eV/atom. Its density of states at the Fermi level is 0.036 states/eV per atom.